Entry 1:
Here is a relaxed BaCoSb2I crystal from Alexandria via LeMat-Bulk. Energies are from PBE-GGA.

Cell: 4.966 4.966 6.390 Å, 90.00 90.00 90.00°
Atoms (fractional coordinates):
Ba1 0.500 0.500 0.500
Sb1 0.500 0.000 0.000
Sb2 0.000 0.500 0.000
Co1 0.000 0.000 0.000
I1 0.000 0.000 0.500

Properties
As for the distance to the lowest polymorph of the same formula: 0 meV/atom. Its calculated volume is 158 Å³ per cell.



Entry 2:
Here is a relaxed BRuOF2 crystal from Alexandria via LeMat-Bulk. Energies are from PBE-GGA.

Cell: 4.299 4.299 3.666 Å, 90.00 90.00 90.00°
Atoms (fractional coordinates):
Ru1 0.000 0.000 0.000
O1 0.000 0.000 0.500
B1 0.500 0.500 0.500
F1 0.000 0.500 0.000
F2 0.500 0.000 0.000

Properties
As for the distance to the lowest polymorph of the same formula: 698 meV/atom. Its calculated volume is 68 Å³ per cell.



Entry 3:
Here is a relaxed La2ZnHPt6 crystal from Alexandria via LeMat-Bulk. Energies are from PBE-GGA.

Cell: 5.725 7.123 5.722 Å, 66.41 59.99 90.01°
Atoms (fractional coordinates):
H1 0.500 0.500 0.000
Pt1 0.270 0.314 0.954
Pt2 0.730 0.686 0.539
Pt3 0.224 0.686 0.046
Pt4 0.776 0.314 0.954
Pt5 0.730 0.686 0.046
Pt6 0.270 0.314 0.461
Zn1 0.000 0.000 0.000
La1 0.720 0.159 0.560
La2 0.280 0.841 0.440

Properties
As for the total energy: -5.84 eV/atom. Its calculated volume is 179 Å³ per cell.



Entry 4:
Here is a relaxed AcTb2Fe crystal from Alexandria via LeMat-Bulk. Energies are from PBE-GGA.

Cell: 3.535 3.535 9.234 Å, 90.00 90.00 90.00°
Atoms (fractional coordinates):
Fe1 0.500 0.500 0.000
Tb1 0.000 0.000 0.174
Tb2 0.000 0.000 0.826
Ac1 0.500 0.500 0.500

Properties
As for the energy relative to the elements: 13 kJ/mol of atoms. As for the distance to the lowest polymorph of the same formula: 0 meV/atom. Its calculated volume is 115 Å³ per cell.



Entry 5:
Here is a relaxed Cu2TcMo crystal from Alexandria via LeMat-Bulk. Energies are from PBE-GGA.

Cell: 4.777 4.777 4.621 Å, 80.92 80.92 32.20°
Atoms (fractional coordinates):
Tc1 0.250 0.250 0.250
Cu1 0.998 0.998 0.002
Cu2 0.502 0.502 0.498
Mo1 0.750 0.750 0.750

Properties
As for the energy relative to the elements: 26 kJ/mol of atoms. As for the distance to the lowest polymorph of the same formula: 108 meV/atom. Its calculated volume is 55 Å³ per cell.



Entry 6:
Here is a relaxed TbPa2Se6 crystal from Alexandria via LeMat-Bulk. Energies are from PBE-GGA.

Cell: 5.316 5.316 10.942 Å, 104.06 104.06 90.00°
Atoms (fractional coordinates):
Se1 0.854 0.326 0.181
Se2 0.326 0.854 0.181
Se3 0.146 0.146 0.819
Se4 0.750 0.250 0.500
Se5 0.674 0.674 0.819
Se6 0.250 0.750 0.500
Pa1 0.815 0.815 0.629
Pa2 0.185 0.185 0.371
Tb1 0.500 0.500 0.000

Properties
As for the distance to the lowest polymorph of the same formula: 329 meV/atom. Its calculated volume is 290 Å³ per cell.



Entry 7:
Here is a relaxed Cu2Ag2Ge crystal from Alexandria via LeMat-Bulk. Energies are from PBE-GGA.

Cell: 3.398 3.398 7.764 Å, 77.36 77.36 90.00°
Atoms (fractional coordinates):
Ag1 0.395 0.395 0.210
Ag2 0.605 0.605 0.790
Ge1 0.000 0.000 0.000
Cu1 0.750 0.250 0.500
Cu2 0.250 0.750 0.500

Properties
As for the energy relative to the elements: 28 kJ/mol of atoms. As for the distance to the lowest polymorph of the same formula: 157 meV/atom. Its calculated volume is 85 Å³ per cell.



Please write out number 2 again, unchanged.
Here is a relaxed BRuOF2 crystal from Alexandria via LeMat-Bulk. Energies are from PBE-GGA.

Cell: 4.299 4.299 3.666 Å, 90.00 90.00 90.00°
Atoms (fractional coordinates):
Ru1 0.000 0.000 0.000
O1 0.000 0.000 0.500
B1 0.500 0.500 0.500
F1 0.000 0.500 0.000
F2 0.500 0.000 0.000

Properties
As for the distance to the lowest polymorph of the same formula: 698 meV/atom. Its calculated volume is 68 Å³ per cell.



Among the records above, which one has the highest calculated volume? TbPa2Se6